# 1
## K2MnBe2 (PBE-GGA)

Data for a geometry-optimized K2MnBe2 structure.

Geometry as extended XYZ:
```
5
Lattice="-1.5474 1.5474 12.0386 1.5474 -1.5474 12.0386 1.5474 1.5474 -12.0386" Properties=species:S:1:pos:R:3 pbc="T T T"
Be 1.5474 0.0000 6.0193
Be 0.0000 1.5474 6.0193
Mn 0.0000 0.0000 0.0000
K 0.0000 0.0000 15.0160
K 0.0000 0.0000 9.0613
```

* space group: No. 139
* formation energy from the elements: 0.93 eV per atom


# 2
## Ce2HgCl (PBE-GGA)

Data for a geometry-optimized Ce2HgCl structure.

Geometry as extended XYZ:
```
4
Lattice="-1.3665 -3.1426 0.4566 3.1399 -1.4114 -0.3170 1.1389 0.6945 8.1890" Properties=species:S:1:pos:R:3 pbc="T T T"
Ce 0.8686 0.5297 6.2459
Ce 0.2702 0.1648 1.9431
Hg 1.4562 -1.9297 4.1643
Cl 0.8867 -2.2770 0.0698
```

* excess energy over the best structure of this formula in the dataset: 0.049 eV per atom
* space group: No. 123
* formation energy from raw total energies: -0.7240 eV per atom


# 3
## LaMn2Ni2 (PBE-GGA)

Data for a geometry-optimized LaMn2Ni2 structure.

Geometry as extended XYZ:
```
5
Lattice="-0.9069 3.9209 -0.6314 -1.3137 -0.9074 -3.7478 -5.4956 0.7687 -0.4737" Properties=species:S:1:pos:R:3 pbc="T T T"
Mn -2.0712 1.3451 -1.8136
Mn -5.6451 2.4372 -3.0393
La 0.0000 0.0000 0.0000
Ni -3.9598 0.6841 -3.2055
Ni -3.7564 3.0982 -1.6473
```

* excess energy over the best structure of this formula in the dataset: 0.000 eV per atom
* space group: No. 139
* formation energy from the elements: 0.15 eV per atom


# 4
## Dy4Y3Ho5 (PBE-GGA)

Data for a geometry-optimized Dy4Y3Ho5 structure.

Geometry as extended XYZ:
```
12
Lattice="5.8446 0.0000 0.0000 2.9223 7.5611 -2.6433 2.9223 -0.8884 9.0865" Properties=species:S:1:pos:R:3 pbc="T T T"
Ho 2.9223 0.2301 1.6731
Ho 2.9223 3.3713 -0.1825
Ho 8.7669 6.4426 4.7701
Ho 8.7669 3.3014 6.6258
Ho 5.8446 3.3363 3.2216
Dy 8.7669 6.8544 0.9256
Dy 2.9223 -0.1818 5.5176
Dy 5.8446 1.6184 -0.0568
Dy 5.8446 5.0543 6.5000
Y 2.9223 3.3363 3.2216
Y 5.8446 4.9579 0.6214
Y 5.8446 1.7148 5.8218
```

* excess energy over the best structure of this formula in the dataset: 0.229 eV per atom
* space group: No. 12
* formation energy from the elements: 0.25 eV per atom


# 5
## Ce6Ir3Ru (PBE-GGA)

Data for a geometry-optimized Ce6Ir3Ru structure.

Geometry as extended XYZ:
```
20
Lattice="-3.2909 -2.2240 0.6989 5.1368 -4.7604 9.0392 -5.8778 9.7445 3.3322" Properties=species:S:1:pos:R:3 pbc="T T T"
Ru -6.2751 4.8009 3.1840
Ru 2.2432 -2.0409 9.8863
Ce -4.5485 2.1711 2.9452
Ce -5.6523 7.7396 3.8322
Ce 0.5166 0.5889 10.1251
Ce -3.7716 5.2872 4.8837
Ce -0.7804 -2.9902 4.2637
Ce -1.1396 0.7674 2.8941
Ce -0.2603 -2.5272 8.1866
Ce -3.2515 5.7503 8.8065
Ce -3.6484 2.0397 6.7656
Ce -0.3835 0.7203 6.3047
Ce -2.8923 1.9926 10.1761
Ce 1.6204 -4.9796 9.2380
Ir 1.0944 -1.6110 5.8448
Ir -2.0950 -1.7146 2.1331
Ir -5.1263 4.3710 7.2255
Ir -2.1884 2.8425 4.5588
Ir -1.9369 4.4747 10.9371
Ir -1.8435 -0.0825 8.5115
```

* space group: No. 11
* formation energy from the elements: -0.50 eV per atom


# 6
## PuMgPt (PBE-GGA)

Data for a geometry-optimized PuMgPt structure.

Geometry as extended XYZ:
```
3
Lattice="-0.6965 0.7579 2.8253 2.8238 -3.5668 1.6529 1.8513 4.4127 -0.7274" Properties=species:S:1:pos:R:3 pbc="T T T"
Mg 2.0600 1.8785 0.5345
Pt -0.1168 0.1271 0.4738
Pu 2.0354 -0.4018 2.7425
```

* space group: No. 156
* formation energy from the elements: -0.44 eV per atom


# 7
## Y2NiHg3 (PBE-GGA)

Data for a geometry-optimized Y2NiHg3 structure.

Geometry as extended XYZ:
```
6
Lattice="3.4932 0.0000 0.0000 0.0000 4.7296 0.0000 0.0000 0.0000 8.3481" Properties=species:S:1:pos:R:3 pbc="T T T"
Ni 1.7466 2.3648 2.7064
Y 0.0000 2.3648 0.3646
Y 0.0000 0.0000 3.9878
Hg 1.7466 0.0000 6.9646
Hg 1.7466 0.0000 1.4880
Hg 1.7466 2.3648 5.3588
```

* space group: No. 25
* formation energy from the elements: -0.38 eV per atom


# 8
## CaTm2Rh (PBE-GGA)

Data for a geometry-optimized CaTm2Rh structure.

Geometry as extended XYZ:
```
4
Lattice="4.0057 0.0000 0.0000 2.0028 3.4690 0.0000 2.0028 1.1563 8.9133" Properties=species:S:1:pos:R:3 pbc="T T T"
Tm 2.0028 1.1563 7.5040
Tm 2.0028 1.1563 1.4362
Ca 4.0057 2.3127 4.4159
Rh 4.0057 2.3127 0.0139
```

* excess energy over the best structure of this formula in the dataset: 0.022 eV per atom
* space group: No. 160
* formation energy from the elements: -0.41 eV per atom


# 9
## SrLa2Ga2 (PBE-GGA)

Data for a geometry-optimized SrLa2Ga2 structure.

Geometry as extended XYZ:
```
10
Lattice="9.2722 0.0000 0.0000 0.0000 9.2722 0.0000 0.0000 0.0000 3.6191" Properties=species:S:1:pos:R:3 pbc="T T T"
La 5.7580 1.1219 0.0000
La 8.1502 5.7580 0.0000
La 3.5142 8.1502 0.0000
La 1.1219 3.5142 0.0000
Ga 7.6556 3.0195 1.8096
Ga 1.6165 6.2526 1.8096
Ga 6.2526 7.6556 1.8096
Ga 3.0195 1.6165 1.8096
Sr 4.6361 4.6361 0.0000
Sr 0.0000 0.0000 0.0000
```

* excess energy over the best structure of this formula in the dataset: 0.046 eV per atom
* space group: No. 127
* formation energy from the elements: -0.34 eV per atom


# 10
## NdTmMg3 (PBE-GGA)

Data for a geometry-optimized NdTmMg3 structure.

Geometry as extended XYZ:
```
10
Lattice="-3.7146 -6.2569 2.5107 6.0414 -4.1928 2.2742 -0.3093 7.4265 2.0003" Properties=species:S:1:pos:R:3 pbc="T T T"
Tm -2.2910 -5.4061 3.5600
Tm 4.3086 2.3829 3.2253
Nd 1.1634 -5.2248 2.3925
Nd -2.0119 0.5848 2.2555
Mg -1.0793 3.6404 2.2952
Mg 4.0585 -1.5109 1.9110
Mg 2.0466 -0.9261 4.1666
Mg 1.6737 4.7447 2.3636
Mg 3.0968 -6.6635 4.4901
Mg -0.0290 -2.0970 2.6188
```

* excess energy over the best structure of this formula in the dataset: 0.113 eV per atom
* space group: No. 74
* formation energy from the elements: 0.14 eV per atom


# 11
## Gd2TlPt (PBE-GGA)

Data for a geometry-optimized Gd2TlPt structure.

Geometry as extended XYZ:
```
4
Lattice="5.2018 0.0000 0.0000 2.6009 4.5049 0.0000 2.6009 1.5016 4.2472" Properties=species:S:1:pos:R:3 pbc="T T T"
Gd 2.6009 1.5016 1.0618
Gd 7.8027 4.5049 3.1854
Tl 0.0000 0.0000 0.0000
Pt 5.2018 3.0033 2.1236
```

* excess energy over the best structure of this formula in the dataset: 0.102 eV per atom
* space group: No. 225
* formation energy from the elements: -0.68 eV per atom


# 12
## LuHgIr4 (PBE-GGA)

Data for a geometry-optimized LuHgIr4 structure.

Geometry as extended XYZ:
```
6
Lattice="5.2957 0.0000 0.0000 2.6478 4.5862 0.0000 2.6478 1.5287 4.3239" Properties=species:S:1:pos:R:3 pbc="T T T"
Lu 2.6478 1.5287 1.0810
Hg 0.0000 0.0000 0.0000
Ir 3.9702 3.8227 2.7031
Ir 5.2957 1.5269 2.7031
Ir 5.2957 3.0574 0.5386
Ir 6.6211 3.8227 2.7031
```

* space group: No. 216
* formation energy from the elements: -0.24 eV per atom


no.,calculated volume (Å³/f.u.),magnetization (μB/f.u.)
1,115.3,3.99
2,99.2,2.81
3,79.1,2.61
4,387.8,0.54
5,256.9,3.61
6,61.0,5.79
7,137.9,0.00
8,123.9,0.00
9,155.6,0.00
10,141.7,0.00
11,99.5,14.24
12,105.0,0.00